1.
NiB4 GGA-PBE relaxed; total DFT energy (no corrections) = -63.4 eV/cell; space-group type = Cm; energy of formation from the pure elements = 161 meV/atom; mass density = 4.397 g/cm³; N(E_F) = 2.18 states/eV/f.u.
1.0
-2.156 -2.874 4.372
2.537 -1.068 0.549
1.907 5.030 0.974
Ni B
2 8
Cartesian
0.946 -0.321 2.181 Ni
0.631 2.728 2.393 Ni
2.047 1.763 1.145 B
1.350 1.586 4.024 B
-0.175 -0.218 0.384 B
-0.872 -0.395 3.262 B
0.647 -0.010 4.167 B
-1.575 -1.991 3.405 B
-0.889 0.430 4.947 B
-0.574 -2.619 4.734 B

***

2.
HoBi2O6 GGA-PBE relaxed; total DFT energy (no corrections) = -56.4 eV/cell; space-group type = I4/mmm; uncorrected formation energy = -153 kJ/mol of atoms; mass density = 9.458 g/cm³; N(E_F) = 2.55 states/eV/f.u.
1.0
-3.128 0.277 -2.186
1.760 -1.970 -2.767
-2.138 -6.107 5.633
O Bi Ho
6 2 1
Cartesian
-1.463 -6.760 1.238 O
-0.531 -4.462 0.194 O
-2.042 -1.040 -0.558 O
0.402 -2.163 -0.849 O
-2.975 -3.338 0.485 O
-3.907 -5.637 1.528 O
-1.908 -4.701 2.134 Bi
-1.598 -3.099 -1.455 Bi
0.000 0.000 0.000 Ho